[1]
A plane-wave DFT calculation with PBEsol was carried out for a geometry-optimized NiW2Br structure.

abc: 2.8870 2.8870 25.5744
angles: 90.00 90.00 120.00
With the nearest neighbours (Å) after each atom.
Space group R3m (No. 160, hexagonal axes)
Inequivalent atoms, fractional coordinates:
1 Ni 0.0000 0.0000 0.0000 (multiplicity 3)  3 W 2.54, 3 Br 2.76
2 W 0.0000 0.0000 0.5006 (multiplicity 3)  3 Br 2.64, 9 W 2.89
3 W 0.0000 0.0000 0.7415 (multiplicity 3)  3 Ni 2.54
4 Br 0.0000 0.0000 0.2475 (multiplicity 3)  3 W 2.64, 3 Ni 2.76, 6 Br 2.89

## Properties
ΔE_f (raw): 0.57 eV/atom
Energy above the most stable polymorph in this dataset: 0.077 eV/atom


[2]
A plane-wave DFT calculation with PBEsol was carried out for a geometry-optimized NiWBr2 structure.

abc: 2.9662 4.1736 5.5577
angles: 90.00 90.00 90.00
With the nearest neighbours (Å) after each atom.
Space group Pmmm (No. 47)
Inequivalent atoms, fractional coordinates:
1 Ni 0.0000 0.0000 0.0000 (multiplicity 1)  4 Br 2.56
2 W 0.5000 0.0000 0.5000 (multiplicity 1)  4 Br 2.56
3 Br 0.0000 0.5000 0.5000 (multiplicity 1)  4 W 2.56
4 Br 0.5000 0.5000 0.0000 (multiplicity 1)  4 Ni 2.56

## Properties
ΔE_f (raw): 1.05 eV/atom


[3]
A plane-wave DFT calculation with PBEsol was carried out for a geometry-optimized NiW2Br structure.

abc: 6.2579 6.2579 6.2579
angles: 90.00 90.00 90.00
With the nearest neighbours (Å) after each atom.
Space group F-43m (No. 216)
Inequivalent atoms, fractional coordinates:
1 Ni 0.0000 0.0000 0.0000 (multiplicity 4)  4 W 2.71, 4 Br 2.71
2 W 0.0000 0.0000 0.5000 (multiplicity 4)  4 W 2.71, 4 Br 2.71
3 W 0.2500 0.2500 0.7500 (multiplicity 4)  4 W 2.71, 4 Ni 2.71
4 Br 0.2500 0.2500 0.2500 (multiplicity 4)  4 W 2.71, 4 Ni 2.71

## Properties
ΔE_f (raw): 1.15 eV/atom
Energy above the most stable polymorph in this dataset: 0.658 eV/atom


[4]
A plane-wave DFT calculation with PBEsol was carried out for a geometry-optimized NiW2Br structure.

abc: 2.8769 4.5521 8.9817
angles: 90.00 90.00 90.00
With the nearest neighbours (Å) after each atom.
Space group Imm2 (No. 44)
Inequivalent atoms, fractional coordinates:
1 Ni 0.0000 0.0000 0.0000 (multiplicity 2)  6 W 2.57-2.70, 2 Br 2.58
2 W 0.0000 0.0000 0.5249 (multiplicity 2)  2 Br 2.56, 4 Ni 2.70
3 W 0.0000 0.5000 0.7367 (multiplicity 2)  2 Ni 2.57, 4 Br 2.70
4 Br 0.0000 0.5000 0.2610 (multiplicity 2)  6 W 2.56-2.70, 2 Ni 2.58

## Properties
ΔE_f (raw): 0.83 eV/atom
Energy above the most stable polymorph in this dataset: 0.338 eV/atom


[5]
A plane-wave DFT calculation with PBEsol was carried out for a geometry-optimized YNiBr structure.

abc: 3.7133 3.7133 5.5911
angles: 90.00 90.00 120.00
With the nearest neighbours (Å) after each atom.
Space group P3m1 (No. 156)
Inequivalent atoms, fractional coordinates:
1 Y 0.0000 0.0000 0.0000 (multiplicity 1)  3 Ni 2.64
2 Ni 0.6667 0.3333 0.2762 (multiplicity 1)  3 Y 2.64, 3 Br 2.91
3 Br 0.3333 0.6667 0.6283 (multiplicity 1)  3 Ni 2.91, 3 Y 2.99

## Properties
ΔE_f (raw): -0.50 eV/atom


[6]
A plane-wave DFT calculation with PBEsol was carried out for a geometry-optimized Y6NiBr10 structure.

abc: 7.1341 8.9251 8.9492
angles: 107.92 97.00 105.36
With the nearest neighbours (Å) after each atom.
Space group P-1 (No. 2)
Inequivalent atoms, fractional coordinates:
1 Y 0.0307 0.2016 0.4068 (multiplicity 2)  1 Ni 2.61, 3 Br 2.79-2.88
2 Y 0.1234 0.5436 0.2518 (multiplicity 2)  1 Ni 2.59, 3 Br 2.86-2.89
3 Y 0.3615 0.6346 0.6769 (multiplicity 2)  1 Ni 2.61, 2 Br 2.77-2.87
4 Ni 0.0000 0.5000 0.5000 (multiplicity 1)  6 Y 2.59-2.61
5 Br 0.0872 0.8715 0.3208 (multiplicity 2)  3 Y 2.87-2.96
6 Br 0.2152 0.2377 0.1454 (multiplicity 2)  3 Y 2.88-2.97
7 Br 0.2602 0.5850 0.9628 (multiplicity 2)  3 Y 2.86-2.96
8 Br 0.3589 0.9606 0.7740 (multiplicity 2)  2 Y 2.77-2.79
9 Br 0.4513 0.3170 0.5888 (multiplicity 2)  4 Y 2.94-2.98

## Properties
ΔE_f (raw): -1.58 eV/atom


Number 1 is which compound? NiW2Br


What did the second record say?
A plane-wave DFT calculation with PBEsol was carried out for a geometry-optimized NiWBr2 structure.

abc: 2.9662 4.1736 5.5577
angles: 90.00 90.00 90.00
With the nearest neighbours (Å) after each atom.
Space group Pmmm (No. 47)
Inequivalent atoms, fractional coordinates:
1 Ni 0.0000 0.0000 0.0000 (multiplicity 1)  4 Br 2.56
2 W 0.5000 0.0000 0.5000 (multiplicity 1)  4 Br 2.56
3 Br 0.0000 0.5000 0.5000 (multiplicity 1)  4 W 2.56
4 Br 0.5000 0.5000 0.0000 (multiplicity 1)  4 Ni 2.56

## Properties
ΔE_f (raw): 1.05 eV/atom


What did the fourth record say?
A plane-wave DFT calculation with PBEsol was carried out for a geometry-optimized NiW2Br structure.

abc: 2.8769 4.5521 8.9817
angles: 90.00 90.00 90.00
With the nearest neighbours (Å) after each atom.
Space group Imm2 (No. 44)
Inequivalent atoms, fractional coordinates:
1 Ni 0.0000 0.0000 0.0000 (multiplicity 2)  6 W 2.57-2.70, 2 Br 2.58
2 W 0.0000 0.0000 0.5249 (multiplicity 2)  2 Br 2.56, 4 Ni 2.70
3 W 0.0000 0.5000 0.7367 (multiplicity 2)  2 Ni 2.57, 4 Br 2.70
4 Br 0.0000 0.5000 0.2610 (multiplicity 2)  6 W 2.56-2.70, 2 Ni 2.58

## Properties
ΔE_f (raw): 0.83 eV/atom
Energy above the most stable polymorph in this dataset: 0.338 eV/atom


What is the ΔE_f (raw) in the third record? 1.15 eV/atom